NdAlGe | OQMD | PBE | optimized geometry; total moment = 0.0 μB per formula unit; density = 5.4 g cm⁻³; final energy = -4.49 eV per atom
1.0
-2.3840 -3.7011 -1.7226
-4.1072 -1.2844 1.9570
-4.0495 0.6796 -2.3428
Ge Nd Al
1 1 1
Direct
0.2500 0.2500 0.2500 Ge
0.7500 0.7500 0.7500 Nd
0.0000 0.0000 0.0000 Al

=====

Sm3Tm3CoTe2 | OQMD | PBE | optimized geometry; total moment = 0.1 μB per formula unit; density = 8.9 g cm⁻³; final energy = -5.15 eV per atom
1.0
-0.7795 0.6272 -8.3819
5.9381 -4.9942 3.3247
-2.4869 -2.9499 0.0105
Tm Co Te Sm
3 1 2 3
Direct
0.0000 0.6008 0.0000 Tm
0.3992 0.3992 0.0000 Tm
0.6008 0.0000 0.0000 Tm
0.0000 0.0000 0.0000 Co
0.3333 0.6667 0.5000 Te
0.6667 0.3333 0.5000 Te
0.0000 0.2409 0.5000 Sm
0.7591 0.7591 0.5000 Sm
0.2409 0.0000 0.5000 Sm

=====

ErInSn | OQMD | PBE | optimized geometry; total moment = 0.0 μB per formula unit; density = 7.4 g cm⁻³; final energy = -3.86 eV per atom
1.0
0.0000 3.5620 3.5620
3.5620 0.0000 3.5620
3.5620 3.5620 0.0000
In Er Sn
1 1 1
Direct
0.7500 0.7500 0.7500 In
0.2500 0.2500 0.2500 Er
0.0000 0.0000 0.0000 Sn

=====

SrAlPt | OQMD | PBE | optimized geometry; total moment = 0.0 μB per formula unit; density = 6.0 g cm⁻³; final energy = -3.53 eV per atom
1.0
4.2723 -2.3715 -0.7727
0.5326 -4.6866 1.4920
0.2372 -3.6459 -3.3354
Sr Al Pt
1 1 1
Direct
0.0000 0.0000 0.0000 Sr
0.2500 0.2500 0.2500 Al
0.7500 0.7500 0.7500 Pt

=====

ZrPd | OQMD | PBE | optimized geometry; total moment = 0.0 μB per formula unit; density = 7.9 g cm⁻³; final energy = -7.25 eV per atom; ΔH_f (0 K) = -0.39 eV per atom
1.0
4.1593 0.0000 0.0000
-2.0797 3.6021 0.0000
0.0000 0.0000 5.5391
Pd Zr
2 2
Direct
0.0000 0.0000 0.5000 Pd
0.0000 0.0000 0.0000 Pd
0.3333 0.6667 0.2500 Zr
0.6667 0.3333 0.7500 Zr

=====

KTbMgS3 | OQMD | PBE | optimized geometry; total moment = 0.0 μB per formula unit; density = 3.2 g cm⁻³; final energy = -4.95 eV per atom
1.0
-1.8584 4.2730 7.3489
0.7368 -3.4114 2.1698
9.4264 1.1266 -1.4296
S Tb Mg K
6 2 2 2
Direct
0.0389 0.2500 0.8454 S
0.3014 0.2500 0.4599 S
0.3830 0.7500 0.1362 S
0.6986 0.7500 0.5401 S
0.6170 0.2500 0.8638 S
0.9611 0.7500 0.1546 S
0.8335 0.7500 0.8643 Tb
0.1665 0.2500 0.1357 Tb
0.4134 0.7500 0.3912 Mg
0.5866 0.2500 0.6088 Mg
0.2977 0.7500 0.7789 K
0.7023 0.2500 0.2211 K

=====

TmPd5Au2 | OQMD | PBE | optimized geometry; total moment = 0.0 μB per formula unit; density = 13.5 g cm⁻³; final energy = -5.13 eV per atom; ΔH_f (0 K) = -0.52 eV per atom
1.0
5.7050 0.0000 0.0000
0.0000 11.3966 0.0000
0.0000 0.0000 4.1380
Au Tm Pd
4 2 10
Direct
0.7696 0.8709 0.5000 Au
0.7304 0.3709 0.5000 Au
0.2304 0.1291 0.5000 Au
0.2696 0.6291 0.5000 Au
0.5000 0.0000 0.0000 Tm
0.0000 0.5000 0.0000 Tm
0.5203 0.7508 0.0000 Pd
0.0203 0.7492 0.0000 Pd
0.2372 0.3763 0.5000 Pd
0.4797 0.2492 0.0000 Pd
0.7372 0.1237 0.5000 Pd
0.5000 0.5000 0.0000 Pd
0.0000 0.0000 0.0000 Pd
0.2628 0.8763 0.5000 Pd
0.9797 0.2508 0.0000 Pd
0.7628 0.6237 0.5000 Pd

=====

Tm2PbO2 | OQMD | PBE | optimized geometry; total moment = 0.0 μB per formula unit; density = 9.8 g cm⁻³; final energy = -7.11 eV per atom
1.0
-1.8797 1.8797 6.9366
1.8797 -1.8797 6.9366
1.8797 1.8797 -6.9366
O Pb Tm
2 1 2
Direct
0.7500 0.2500 0.5000 O
0.2500 0.7500 0.5000 O
0.0000 0.0000 0.0000 Pb
0.3292 0.3292 0.0000 Tm
0.6708 0.6708 0.0000 Tm

=====

Tm4GeO3 | OQMD | PBE | optimized geometry; total moment = 0.0 μB per formula unit; density = 10.3 g cm⁻³; final energy = -6.80 eV per atom
1.0
-2.5525 2.5525 4.9298
2.5525 -2.5525 4.9298
2.5525 2.5525 -4.9298
O Ge Tm
3 1 4
Direct
0.2500 0.7500 0.5000 O
0.5000 0.5000 0.0000 O
0.7500 0.2500 0.5000 O
0.0000 0.0000 0.0000 Ge
0.0000 0.5000 0.5000 Tm
0.7317 0.7317 0.0000 Tm
0.2683 0.2683 0.0000 Tm
0.5000 0.0000 0.5000 Tm

=====

NbCu2Sb | OQMD | PBE | optimized geometry; total moment = 0.5 μB per formula unit; density = 8.6 g cm⁻³; final energy = -5.13 eV per atom
1.0
0.0000 3.2046 3.2046
3.2046 0.0000 3.2046
3.2046 3.2046 0.0000
Cu Sb Nb
2 1 1
Direct
0.0000 0.0000 0.0000 Cu
0.7500 0.7500 0.7500 Cu
0.5000 0.5000 0.5000 Sb
0.2500 0.2500 0.2500 Nb

=====

SmGeB4 | OQMD | PBE | optimized geometry; total moment = 0.0 μB per formula unit; density = 6.4 g cm⁻³; final energy = -5.89 eV per atom
1.0
-3.1741 0.0538 0.0988
1.4934 -1.9589 -2.0049
0.0772 -5.5928 5.5220
B Ge Sm
4 1 1
Direct
0.6667 0.3333 0.7641 B
0.3333 0.6667 0.2359 B
0.6667 0.3333 0.2359 B
0.3333 0.6667 0.7641 B
0.0000 0.0000 0.0000 Ge
0.0000 0.0000 0.5000 Sm

=====

Ho5F | OQMD | PBE | optimized geometry; total moment = 1.6 μB per formula unit; density = 7.0 g cm⁻³; final energy = -3.71 eV per atom
1.0
-3.8833 -2.1767 4.3935
0.1369 -2.6706 -5.6542
4.2087 -3.7386 1.8677
F Ho
1 5
Direct
0.0000 0.0000 0.0000 F
0.5000 0.5000 0.5000 Ho
0.6667 0.3333 0.0000 Ho
0.3333 0.6667 0.0000 Ho
0.0000 0.5000 0.5000 Ho
0.5000 0.0000 0.5000 Ho

=====

InNi2Se2S | OQMD | PBE | optimized geometry; total moment = 0.0 μB per formula unit; density = 5.6 g cm⁻³; final energy = -4.50 eV per atom
1.0
3.3786 -5.8714 0.0000
3.3786 5.8714 0.0000
-2.0750 0.0000 6.3281
Se In Ni S
4 2 4 2
Direct
0.6776 0.5092 0.3708 Se
0.0613 0.2678 0.4131 Se
0.5092 0.6776 0.8708 Se
0.2678 0.0613 0.9131 Se
0.9110 0.1039 0.9903 In
0.1039 0.9110 0.4903 In
0.2451 0.7394 0.0263 Ni
0.4388 0.6216 0.5052 Ni
0.7394 0.2451 0.5263 Ni
0.6216 0.4388 0.0052 Ni
0.8872 0.4318 0.8653 S
0.4318 0.8872 0.3653 S

=====

NbFeSbIr | OQMD | PBE | optimized geometry; total moment = 1.9 μB per formula unit; density = 11.7 g cm⁻³; final energy = -7.73 eV per atom
1.0
0.0000 3.2025 3.2025
3.2025 0.0000 3.2025
3.2025 3.2025 0.0000
Fe Sb Ir Nb
1 1 1 1
Direct
0.7500 0.7500 0.7500 Fe
0.0000 0.0000 0.0000 Sb
0.5000 0.5000 0.5000 Ir
0.2500 0.2500 0.2500 Nb

=====

SrSmRe | OQMD | PBE | optimized geometry; total moment = 0.5 μB per formula unit; density = 8.1 g cm⁻³; final energy = -4.82 eV per atom
1.0
2.6433 1.6682 3.8680
-1.7273 3.7632 2.7544
-1.5832 -0.8365 4.6396
Sm Sr Re
1 1 1
Direct
0.0000 0.0000 0.0000 Sm
0.7500 0.7500 0.7500 Sr
0.2500 0.2500 0.2500 Re

=====

Cs2FeGeCl6 | OQMD | PBE | optimized geometry; total moment = 4.0 μB per formula unit; density = 3.7 g cm⁻³; final energy = -3.83 eV per atom
1.0
2.9711 -6.2135 -2.4381
-4.2605 -5.2360 -2.7948
0.1637 -1.4045 -7.1679
Fe Cl Cs Ge
1 6 2 1
Direct
0.0000 0.0000 0.0000 Fe
0.7589 0.2411 0.2411 Cl
0.7589 0.2411 0.7589 Cl
0.2411 0.2411 0.7589 Cl
0.2411 0.7589 0.7589 Cl
0.2411 0.7589 0.2411 Cl
0.7589 0.7589 0.2411 Cl
0.2500 0.2500 0.2500 Cs
0.7500 0.7500 0.7500 Cs
0.5000 0.5000 0.5000 Ge

=====

YCoAgPb | OQMD | PBE | optimized geometry; total moment = 1.1 μB per formula unit; density = 9.6 g cm⁻³; final energy = -5.04 eV per atom
1.0
0.0000 3.4251 3.4251
3.4251 0.0000 3.4251
3.4251 3.4251 0.0000
Pb Co Y Ag
1 1 1 1
Direct
0.0000 0.0000 0.0000 Pb
0.7500 0.7500 0.7500 Co
0.5000 0.5000 0.5000 Y
0.2500 0.2500 0.2500 Ag

=====

Ba2NaTcH6 | OQMD | PBE | optimized geometry; total moment = 0.0 μB per formula unit; density = 5.0 g cm⁻³; final energy = -3.96 eV per atom
1.0
0.3349 3.1691 4.7795
-4.5077 0.3366 3.5448
0.1888 -2.5623 5.1379
H Ba Tc Na
6 2 1 1
Direct
0.7246 0.7246 0.2754 H
0.7246 0.2754 0.2754 H
0.7246 0.2754 0.7246 H
0.2754 0.2754 0.7246 H
0.2754 0.7246 0.7246 H
0.2754 0.7246 0.2754 H
0.2500 0.2500 0.2500 Ba
0.7500 0.7500 0.7500 Ba
0.5000 0.5000 0.5000 Tc
0.0000 0.0000 0.0000 Na

=====

NaHoTc | OQMD | PBE | optimized geometry; total moment = 1.4 μB per formula unit; density = 6.6 g cm⁻³; final energy = -4.08 eV per atom
1.0
-2.9216 1.1331 3.4578
-4.6051 0.0361 -0.7539
-2.7067 -3.2724 1.9342
Ho Tc Na
1 1 1
Direct
0.2500 0.2500 0.2500 Ho
0.7500 0.7500 0.7500 Tc
0.0000 0.0000 0.0000 Na

=====

KNbSeO | OQMD | PBE | optimized geometry; total moment = 0.2 μB per formula unit; density = 5.5 g cm⁻³; final energy = -5.70 eV per atom
1.0
-1.2615 2.2575 -2.7462
-2.1458 -2.8068 -1.3216
-7.2424 2.8624 5.6798
Nb Se K O
2 2 2 2
Direct
0.2500 0.2500 0.1162 Nb
0.7500 0.7500 0.8838 Nb
0.2500 0.2500 0.7522 Se
0.7500 0.7500 0.2478 Se
0.7500 0.2500 0.5000 K
0.2500 0.7500 0.5000 K
0.2500 0.7500 0.0000 O
0.7500 0.2500 0.0000 O